VASP calculation (PBE) on a relaxed structure of FeCoRh2.

Output
As for the energy: -30.1 eV/cell. Its crystal system is orthorhombic. As for the energy relative to the elements: 0.030 eV/atom.

Lattice parameters (Å, degrees): 2.673 3.617 5.384 90.00 90.00 90.00
Last column: magnetic moment on the atom in μB.
Element x y z (fractional)
1 Fe 0.500 0.500 0.750  2.78
2 Rh 0.000 0.000 0.003  0.46
3 Co 0.500 0.500 0.250  1.74
4 Rh 0.000 0.000 0.497  0.46

=====

VASP calculation (PBE) on a relaxed structure of CsScVI6.

Output
As for the energy: -34.9 eV/cell. Its uncorrected formation energy is -900 kJ/mol of formula units. Its crystal system is trigonal.

Lattice parameters (Å, degrees): 7.430 7.430 8.857 90.00 90.00 60.00
Last column: magnetic moment on the atom in μB.
Element x y z (fractional)
1 Sc 0.667 0.667 0.500  0.05
2 I 0.006 0.363 0.315  -0.02
3 I 0.006 0.631 0.685  -0.02
4 I 0.631 0.364 0.685  -0.02
5 Cs 0.000 0.000 0.000  0.00
6 I 0.363 0.006 0.685  -0.02
7 V 0.333 0.333 0.500  2.58
8 I 0.363 0.631 0.315  -0.02
9 I 0.631 0.006 0.315  -0.02

=====

VASP calculation (PBE) on a relaxed structure of KSc2Te.

Output
As for the energy: -17.7 eV/cell. Its uncorrected formation energy is -74 kJ/mol of formula units. Its crystal system is monoclinic.

Lattice parameters (Å, degrees): 6.791 6.791 5.710 65.21 65.21 31.26
Element x y z (fractional)
1 Sc 0.950 0.950 0.050
2 Te 0.250 0.250 0.250
3 Sc 0.550 0.550 0.450
4 K 0.750 0.750 0.750

=====

VASP calculation (PBE) on a relaxed structure of BaNa2InPd.

Output
As for the energy: -13.4 eV/cell. Its crystal system is tetragonal. As for the energy relative to the elements: -0.177 eV/atom.

Lattice parameters (Å, degrees): 5.540 5.540 5.266 90.00 90.00 90.00
Element x y z (fractional)
1 Na 0.000 0.500 0.000
2 In 0.000 0.000 0.500
3 Na 0.500 0.000 0.000
4 Pd 0.000 0.000 0.000
5 Ba 0.500 0.500 0.500

=====

VASP calculation (PBE) on a relaxed structure of Pm2ScIn.

Output
As for the energy: -18.9 eV/cell. Its energy relative to the lowest polymorph listed for this composition is 16.55 kJ/mol of atoms. Its crystal system is trigonal. As for the energy relative to the elements: -0.090 eV/atom.

Lattice parameters (Å, degrees): 3.530 3.530 11.202 80.94 80.94 60.00
Last column: magnetic moment on the atom in μB.
Element x y z (fractional)
1 In 0.667 0.667 0.000  0.00
2 Sc 0.500 0.500 0.500  0.08
3 Pm 0.084 0.084 0.749  0.02
4 Pm 0.250 0.250 0.251  0.01

=====

VASP calculation (PBE) on a relaxed structure of Ca2SnS4.

Output
As for the energy: -67.3 eV/cell. Its uncorrected formation energy is -882 kJ/mol of formula units. Its energy relative to the lowest polymorph listed for this composition is 8.85 kJ/mol of atoms. Its crystal system is cubic.

Lattice parameters (Å, degrees): 7.981 7.981 7.981 60.00 60.00 60.00
Element x y z (fractional)
1 Ca 0.125 0.125 0.625
2 Ca 0.125 0.625 0.125
3 S 0.375 0.875 0.375
4 S 0.375 0.375 0.875
5 Ca 0.125 0.125 0.125
6 Ca 0.625 0.125 0.125
7 Sn 0.500 0.500 0.500
8 S 0.875 0.375 0.875
9 S 0.875 0.375 0.375
10 S 0.875 0.875 0.375
11 S 0.875 0.875 0.875
12 S 0.375 0.375 0.375
13 S 0.375 0.875 0.875
14 Sn 0.750 0.750 0.750

=====

VASP calculation (PBE) on a relaxed structure of ZrNb2Pt.

Output
As for the energy: -69.0 eV/cell. Its energy relative to the lowest polymorph listed for this composition is 26.06 kJ/mol of atoms. Its crystal system is tetragonal. As for the energy relative to the elements: 0.053 eV/atom.

Lattice parameters (Å, degrees): 7.736 7.736 6.096 50.62 50.62 90.00
Element x y z (fractional)
1 Zr 0.500 0.500 0.000
2 Nb 0.375 0.345 0.750
3 Pt 0.000 0.000 0.000
4 Nb 0.095 0.625 0.250
5 Nb 0.875 0.905 0.750
6 Nb 0.655 0.125 0.250
7 Pt 0.750 0.250 0.500
8 Zr 0.250 0.750 0.500

=====

VASP calculation (PBE) on a relaxed structure of AlNiRh.

Output
As for the energy: -17.3 eV/cell. Its energy relative to the lowest polymorph listed for this composition is 41.93 kJ/mol of atoms. Its crystal system is cubic. As for the energy relative to the elements: -0.143 eV/atom.

Lattice parameters (Å, degrees): 4.059 4.059 4.059 60.00 60.00 60.00
Last column: magnetic moment on the atom in μB.
Element x y z (fractional)
1 Al 0.000 0.000 0.000  -0.01
2 Ni 0.500 0.500 0.500  0.47
3 Rh 0.750 0.750 0.750  0.17

=====

VASP calculation (PBE) on a relaxed structure of Dy7YTm4.

Output
As for the energy: -56.6 eV/cell. Its energy relative to the lowest polymorph listed for this composition is 0.00 kJ/mol of atoms. Its crystal system is triclinic. As for the energy relative to the elements: -0.001 eV/atom.

Lattice parameters (Å, degrees): 7.113 6.163 11.277 79.54 50.90 90.03
Element x y z (fractional)
1 Dy 0.085 0.279 0.664
2 Tm 0.835 0.779 0.666
3 Tm 0.414 0.722 0.335
4 Dy 0.665 0.223 0.335
5 Dy 0.252 0.499 0.000
6 Dy 0.748 0.501 0.000
7 Dy 0.915 0.721 0.336
8 Tm 0.165 0.221 0.334
9 Y 0.000 0.000 0.000
10 Tm 0.586 0.278 0.665
11 Dy 0.500 0.000 0.000
12 Dy 0.335 0.777 0.665

=====

VASP calculation (PBE) on a relaxed structure of BaPr2Sm.

Output
As for the energy: -15.8 eV/cell. Its energy relative to the lowest polymorph listed for this composition is 0.00 kJ/mol of atoms. Its crystal system is tetragonal. As for the energy relative to the elements: 0.099 eV/atom.

Lattice parameters (Å, degrees): 3.797 3.797 11.084 90.00 90.00 90.00
Element x y z (fractional)
1 Pr 0.000 0.000 0.780
2 Pr 0.000 0.000 0.220
3 Ba 0.500 0.500 0.500
4 Sm 0.500 0.500 0.000

=====

VASP calculation (PBE) on a relaxed structure of CaTlBiPtN.

Output
As for the energy: -23.3 eV/cell. Its uncorrected formation energy is -68 kJ/mol of formula units. Its energy relative to the lowest polymorph listed for this composition is 10.88 kJ/mol of atoms. Its crystal system is triclinic.

Lattice parameters (Å, degrees): 3.877 5.940 6.692 70.83 73.07 70.75
Element x y z (fractional)
1 Pt 0.246 0.723 0.748
2 N 0.181 0.047 0.550
3 Ca 0.552 0.233 0.621
4 Bi 0.729 0.485 0.021
5 Tl 0.393 0.976 0.206

=====

> Number 8 is which compound?

AlNiRh